The following is a GGA-PBE calculation of crystalline LiTc at its relaxed geometry, from Alexandria via LeMat-Bulk.

Structure (extended XYZ):
```
2
Lattice="2.4910 0.0000 0.0000 0.0000 2.4910 0.0000 0.0000 0.0000 4.5543" Properties=species:S:1:pos:R:3 pbc="T T T"
Li 0.0000 0.0000 0.0000
Tc 1.2455 1.2455 2.2771
```

Values from the calculation:
As for the volume: 14.13 Å³ per atom. For the total magnetic moment, the calculation gives 0.00 Bohr magnetons per cell. Its distance to the lowest polymorph of the same formula is 0.1664 eV/atom.